1.
DFT (GGA-PBE) results for a relaxed structure of FeAg4Te.

POSCAR file:
```
FeAg4Te
1.0
0.000 3.917 3.917
3.917 0.000 3.917
3.917 3.917 0.000
Fe Ag Te
1 4 1
direct
0.000 0.000 0.000
0.374 0.374 0.374
0.374 0.374 0.877
0.374 0.877 0.374
0.877 0.374 0.374
0.750 0.750 0.750
```

Energy relative to the elements, uncorrected ... 2.6 eV/f.u.

=====

2.
DFT (GGA-PBE) results for a relaxed structure of FeAgTe2.

POSCAR file:
```
FeAgTe2
1.0
3.288 0.000 0.000
0.000 3.421 0.000
0.000 0.000 7.575
Fe Ag Te
1 1 2
direct
0.000 0.000 0.000
0.000 0.000 0.500
0.500 0.500 0.214
0.500 0.500 0.786
```

Energy relative to the elements, uncorrected ... 1.3 eV/f.u.

=====

3.
DFT (GGA-PBE) results for a relaxed structure of FeAgTe2.

POSCAR file:
```
FeAgTe2
1.0
4.129 0.000 0.000
-2.065 3.576 0.000
0.000 0.000 5.858
Fe Ag Te
1 1 2
direct
0.000 0.000 0.000
0.000 0.000 0.500
0.333 0.667 0.803
0.667 0.333 0.197
```

Energy relative to the elements, uncorrected ... 0.2 eV/f.u.

=====

4.
DFT (GGA-PBE) results for a relaxed structure of FeAgTe2.

POSCAR file:
```
FeAgTe2
1.0
8.019 0.000 0.000
-4.010 6.945 0.000
0.000 0.000 5.201
Fe Ag Te
3 3 6
direct
0.000 0.500 0.000
0.500 0.000 0.000
0.500 0.500 0.000
0.000 0.000 0.500
0.333 0.667 0.680
0.667 0.333 0.320
0.186 0.373 0.252
0.186 0.814 0.252
0.373 0.186 0.748
0.627 0.814 0.252
0.814 0.186 0.748
0.814 0.627 0.748
```

Energy relative to the elements, uncorrected ... 0.7 eV/f.u.

=====

5.
DFT (GGA-PBE) results for a relaxed structure of FeAgTe2.

POSCAR file:
```
FeAgTe2
1.0
4.017 -3.954 0.000
4.017 3.954 0.000
-0.857 0.000 3.042
Fe Ag Te
1 1 2
direct
0.000 0.000 0.000
0.500 0.500 0.000
0.000 0.500 0.000
0.500 0.000 0.000
```

Energy relative to the elements, uncorrected ... 1.5 eV/f.u.

=====

6.
DFT (GGA-PBE) results for a relaxed structure of FeAgTe2.

POSCAR file:
```
FeAgTe2
1.0
3.982 0.000 0.000
0.000 4.315 0.000
-0.006 0.000 6.119
Fe Ag Te
1 1 2
direct
0.000 0.000 0.000
0.999 0.500 0.689
0.001 0.500 0.221
0.500 0.000 0.723
```

Energy relative to the elements, uncorrected ... 0.5 eV/f.u.